1.
# TmZrSe4

A geometry-optimized TmZrSe4 structure (PBE, Alexandria via LeMat-Bulk).

Values from the calculation:
Uncorrected formation energy = -7.40 eV/f.u.

Unit cell a=3.991 b=6.552 c=6.552 alpha=90.55 beta=90.00 gamma=90.00
Element x y z (fractional)
Tm  0.500  0.000  0.000
Se  0.500  0.305  0.695
Se  0.000  0.210  0.210
Zr  0.000  0.500  0.500
Se  0.500  0.695  0.305
Se  0.000  0.790  0.790

---

2.
# GaBiPb2O6

A geometry-optimized GaBiPb2O6 structure (PBE, Alexandria via LeMat-Bulk).

Values from the calculation:
Uncorrected formation energy = -11.26 eV/f.u.

Unit cell a=5.808 b=5.815 c=8.269 alpha=90.00 beta=90.03 gamma=90.00
Element x y z (fractional)
Pb  0.999  0.030  0.747
O  0.801  0.782  0.531
Pb  0.501  0.530  0.753
O  0.781  0.795  0.966
O  0.568  0.016  0.242
O  0.199  0.218  0.469
O  0.219  0.205  0.034
O  0.432  0.984  0.758
Bi  0.500  0.000  0.500
Bi  0.000  0.500  0.000
O  0.281  0.705  0.466
Ga  0.500  0.000  0.000
O  0.301  0.718  0.031
O  0.699  0.282  0.969
O  0.932  0.516  0.258
Pb  0.001  0.970  0.253
O  0.068  0.484  0.742
O  0.719  0.295  0.534
Ga  0.000  0.500  0.500
Pb  0.499  0.470  0.247